The following is a DFT calculation (GGA-PBEsol) of a relaxed structure of CsHSeO4.

Cell: 7.9233 8.4681 7.7484 Å, 90.00 109.84 90.00°
With the nearest neighbours (Å) after each atom.
Space group P2_1/c (No. 14)
One atom of each set of equivalent atoms:
Cs: 0.2050 0.1274 0.2039  9 O 3.07-3.38, 1 H 3.40
H: 0.3922 0.6973 0.9646  1 O 1.07
Se: 0.2566 0.6306 0.2208  4 O 1.64-1.74
O: 0.1042 0.7319 0.6383  1 Se 1.64
O: 0.1829 0.0202 0.8069  1 Se 1.64
O: 0.3528 0.5706 0.0706  1 H 1.45
O: 0.4379 0.7170 0.3900  1 H 1.07

## Properties
Total DFT energy (no corrections) (eV per atom): -5.284

The following is a DFT calculation (GGA-PBEsol) of a relaxed structure of Mg2CrGeTe.

Cell: 5.2565 5.2565 5.0109 Å, 90.00 90.00 90.00°
With the nearest neighbours (Å) after each atom.
Space group P4/mmm (No. 123)
One atom of each set of equivalent atoms:
Mg: 0.0000 0.5000 0.0000  2 Te 2.63
Cr: 0.0000 0.0000 0.5000  2 Te 2.51
Ge: 0.5000 0.5000 0.5000  8 Mg 3.63, 4 Cr 3.72
Te: 0.0000 0.0000 0.0000  2 Cr 2.51, 4 Mg 2.63

## Properties
Formation energy from raw total energies (kJ/mol of atoms): 73

Going through the records in order, we get total magnetic moment values of 0.04; 3.84 Bohr magnetons per cell.